No. 1
## TiAgAu4 (PBE-GGA)

Data for a relaxed TiAgAu4 crystal.

Computed properties:
* DFT formation energy: -58.0 meV per atom
* Fermi-level density of states: 0.67 states/eV/atom

a b c (Å): 4.8292 7.3805 8.0158
angles (deg): 90.00 90.00 49.14
Last column: magnetic moment on the atom in μB.
Element x y z (fractional)
Au (0.7469, 0.0031, 0.5801)  0.00
Au (0.7469, 0.0031, 0.9199)  0.00
Au (0.2531, 0.4969, 0.5801)  0.00
Ti (0.0000, 0.7500, 0.2500)  0.58
Ag (0.5000, 0.2500, 0.2500)  0.02
Au (0.7469, 0.5031, 0.4199)  0.00
Au (0.7469, 0.5031, 0.0801)  0.00
Ti (0.0000, 0.2500, 0.7500)  0.58
Au (0.2531, 0.4969, 0.9199)  0.00
Au (0.2531, 0.9969, 0.0801)  0.00
Ag (0.5000, 0.7500, 0.7500)  0.02
Au (0.2531, 0.9969, 0.4199)  0.00

No. 2
## K3TiSb (PBE-GGA)

Data for a relaxed K3TiSb crystal.

Computed properties:
* E_form (uncorrected): 812 meV per atom
* Fermi-level density of states: 3.21 states/eV/atom

a b c (Å): 6.6815 6.6815 6.6815
angles (deg): 90.00 90.00 90.00
Last column: magnetic moment on the atom in μB.
Element x y z (fractional)
Ti (0.5000, 0.5000, 0.5000)  -0.19
K (0.0000, 0.0000, 0.5000)  0.01
Sb (0.0000, 0.0000, 0.0000)  0.17
K (0.5000, 0.0000, 0.0000)  0.00
K (0.0000, 0.5000, 0.0000)  0.00

No. 3
## As2IrSeS (PBE-GGA)

Data for a relaxed As2IrSeS crystal.

Computed properties:
* E_form (uncorrected): 1166 meV per atom
* Fermi-level density of states: 0.56 states/eV/atom

a b c (Å): 4.6700 4.6700 4.5974
angles (deg): 90.00 90.00 90.00
Element x y z (fractional)
As (0.0000, 0.5000, 0.0000)
As (0.5000, 0.0000, 0.0000)
Ir (0.5000, 0.5000, 0.5000)
S (0.0000, 0.0000, 0.0000)
Se (0.0000, 0.0000, 0.5000)

Per-record calculated total energy, eV per cell: -48.4, -11.3, -19.9
Per-record energy above the lowest structure with this stoichiometry, meV/atom: 122.7, 0.0, 409.8